First-principles (GGA-PBE) data for NdYRu4 after structural relaxation, as listed in Alexandria via LeMat-Bulk.

abc: 5.385 5.385 5.385
angles: 60.00 60.00 60.00
Atoms (fractional coordinates):
Nd 0.000 0.000 0.000
Y 0.750 0.750 0.750
Ru 0.375 0.375 0.375
Ru 0.375 0.375 0.874
Ru 0.375 0.874 0.375
Ru 0.874 0.375 0.375

Output
Its total energy is -8.263 eV per atom. The crystal system is cubic. The calculation puts the calculated formation energy at -208 meV/atom.